1.
This record from the Alexandria database describes a relaxed LaCu2Tc crystal. The functional is PBE.

Cell lengths 5.109, 5.109, 5.109 Å; angles 132.67, 132.67, 69.17 degrees
Sites, in units of the cell vectors:
La 0.000 0.000 0.000
Cu 0.500 0.500 0.000
Cu 0.750 0.250 0.500
Tc 0.250 0.750 0.500

energy of formation	354	meV/atom
energy	-22.1	eV/cell
polymorph energy (0 for the lowest one)	0.2518	eV per atom

---

2.
This record from the Alexandria database describes a relaxed Li4In2F crystal. The functional is PBE.

Cell lengths 8.050, 8.050, 8.050 Å; angles 151.35, 151.35, 40.97 degrees
Sites, in units of the cell vectors:
Li 0.000 0.500 0.500
Li 0.130 0.130 0.000
Li 0.500 0.000 0.500
Li 0.870 0.870 0.000
In 0.314 0.314 0.000
In 0.686 0.686 0.000
F 0.000 0.000 0.000

energy	-21.1	eV/cell
raw formation energy	-865	meV/atom

---

3.
This record from the Alexandria database describes a relaxed Sm2CuRhO6 crystal. The functional is PBE.

Cell lengths 5.399, 5.860, 9.346 Å; angles 90.00, 125.24, 90.00 degrees
Sites, in units of the cell vectors:
Sm 0.227 0.080 0.250
Sm 0.227 0.420 0.750
Sm 0.773 0.580 0.250
Sm 0.773 0.920 0.750
Cu 0.000 0.000 0.500
Cu 0.000 0.500 0.000
Rh 0.500 0.000 0.000
Rh 0.500 0.500 0.500
O 0.136 0.189 0.946
O 0.136 0.311 0.446
O 0.264 0.700 0.944
O 0.264 0.800 0.444
O 0.360 0.036 0.747
O 0.360 0.464 0.247
O 0.640 0.536 0.753
O 0.640 0.964 0.253
O 0.736 0.200 0.556
O 0.736 0.300 0.056
O 0.864 0.689 0.554
O 0.864 0.811 0.054

energy	-142.3	eV/cell
raw formation energy	-2053	meV/atom

---

4.
This record from the Alexandria database describes a relaxed ErHfZrSc3 crystal. The functional is PBE.

Cell lengths 7.361, 4.597, 9.223 Å; angles 90.00, 108.28, 90.00 degrees
Sites, in units of the cell vectors:
Er 0.175 0.250 0.294
Er 0.825 0.750 0.706
Hf 0.499 0.750 0.878
Hf 0.501 0.250 0.122
Zr 0.498 0.750 0.370
Zr 0.502 0.250 0.630
Sc 0.185 0.750 0.042
Sc 0.187 0.750 0.552
Sc 0.188 0.250 0.797
Sc 0.812 0.750 0.203
Sc 0.813 0.250 0.448
Sc 0.815 0.250 0.958

energy of formation	50	meV/atom
energy	-83.5	eV/cell